! Cd3SiH (PBE, relaxed); values from VASP
! Energy above the lowest structure with this stoichiometry   0.000 eV/f.u.
! Crystal system   cubic
&SYSTEM
  ibrav = 0, nat = 5, ntyp = 3
/
ATOMIC_SPECIES
Cd 112.41 Cd.upf
H 1.01 H.upf
Si 28.09 Si.upf
CELL_PARAMETERS angstrom
4.4949 0.0000 0.0000
0.0000 4.4949 0.0000
0.0000 0.0000 4.4949
ATOMIC_POSITIONS crystal
Cd 0.5000 0.0000 0.0000
Cd 0.0000 0.0000 0.5000
Cd 0.0000 0.5000 0.0000
H 0.0000 0.0000 0.0000
Si 0.5000 0.5000 0.5000


! CdSiH (PBE, relaxed); values from VASP
! Energy above the lowest structure with this stoichiometry   0.110 eV/f.u.
! Crystal system   monoclinic
&SYSTEM
  ibrav = 0, nat = 6, ntyp = 3
/
ATOMIC_SPECIES
Si 28.09 Si.upf
H 1.01 H.upf
Cd 112.41 Cd.upf
CELL_PARAMETERS angstrom
4.9927 0.0000 -0.0167
0.0000 3.7492 0.0000
-1.1089 0.0000 5.6340
ATOMIC_POSITIONS crystal
Si 0.4207 0.7948 0.5894
Si 0.5793 0.2948 0.4106
H 0.1194 0.7536 0.4905
Cd 0.7642 0.4994 0.9924
Cd 0.2358 0.9994 0.0076
H 0.8806 0.2536 0.5095


! CdSi3H12 (PBE, relaxed); values from VASP
! Crystal system   trigonal
&SYSTEM
  ibrav = 0, nat = 32, ntyp = 3
/
ATOMIC_SPECIES
H 1.01 H.upf
Si 28.09 Si.upf
Cd 112.41 Cd.upf
CELL_PARAMETERS angstrom
-4.4422 1.2138 7.3491
-5.6728 -5.9888 2.6775
1.7194 -4.8014 6.9497
ATOMIC_POSITIONS crystal
H 0.0020 0.4425 0.9309
H 0.9180 0.1365 0.6357
H 0.0089 0.7607 0.8112
H 0.4425 0.6246 0.9309
H 0.2607 0.5089 0.3112
Si 0.4936 0.9363 0.4827
H 0.1365 0.3099 0.6357
H 0.4180 0.8099 0.1357
H 0.5020 0.1246 0.4309
H 0.6365 0.4180 0.1357
H 0.5117 0.2841 0.0510
H 0.0117 0.6532 0.5510
H 0.9192 0.2607 0.3112
H 0.5089 0.9192 0.3112
H 0.8099 0.6365 0.1357
H 0.6532 0.7841 0.5510
Si 0.0874 0.4936 0.4827
Cd 0.9741 0.9741 0.0778
H 0.3099 0.9180 0.6357
Si 0.4363 0.9936 0.9827
Si 0.9363 0.0874 0.4827
H 0.6246 0.0020 0.9309
H 0.7607 0.4192 0.8112
H 0.1246 0.9425 0.4309
H 0.2841 0.1532 0.0510
Si 0.9936 0.5874 0.9827
Cd 0.4741 0.4741 0.5778
H 0.1532 0.5117 0.0510
H 0.9425 0.5020 0.4309
H 0.7841 0.0117 0.5510
H 0.4192 0.0089 0.8112
Si 0.5874 0.4363 0.9827


! CdSiH (PBE, relaxed); values from VASP
! Energy above the lowest structure with this stoichiometry   0.383 eV/f.u.
! Crystal system   triclinic
&SYSTEM
  ibrav = 0, nat = 6, ntyp = 3
/
ATOMIC_SPECIES
Si 28.09 Si.upf
H 1.01 H.upf
Cd 112.41 Cd.upf
CELL_PARAMETERS angstrom
7.0775 2.5775 -0.6736
6.1210 5.1726 -0.7575
-4.4809 -2.9495 6.8912
ATOMIC_POSITIONS crystal
Si 0.4534 0.4065 0.3144
H 0.7606 0.6303 0.7617
H 0.2394 0.3697 0.2383
Si 0.5466 0.5935 0.6856
Cd 0.9238 0.2444 0.9868
Cd 0.0762 0.7556 0.0132


! CdSiH (PBE, relaxed); values from VASP
! Energy above the lowest structure with this stoichiometry   0.000 eV/f.u.
! Crystal system   monoclinic
&SYSTEM
  ibrav = 0, nat = 12, ntyp = 3
/
ATOMIC_SPECIES
Cd 112.41 Cd.upf
Si 28.09 Si.upf
H 1.01 H.upf
CELL_PARAMETERS angstrom
-1.3564 -3.9390 -2.4926
1.2615 -2.2437 2.8592
-11.3405 -0.2101 4.8386
ATOMIC_POSITIONS crystal
Cd 0.0000 0.0000 0.0000
Cd 0.5000 0.5000 0.0000
Si 0.4143 0.5000 0.7947
H 0.8915 0.0000 0.7183
Cd 0.0000 0.5000 0.5000
Si 0.5857 0.5000 0.2053
Cd 0.5000 0.0000 0.5000
Si 0.4143 0.0000 0.2947
H 0.1085 0.5000 0.7817
Si 0.5857 0.0000 0.7053
H 0.1085 0.0000 0.2817
H 0.8915 0.5000 0.2183


! CdSiH (PBE, relaxed); values from VASP
! Energy above the lowest structure with this stoichiometry   0.063 eV/f.u.
! Crystal system   triclinic
&SYSTEM
  ibrav = 0, nat = 6, ntyp = 3
/
ATOMIC_SPECIES
Cd 112.41 Cd.upf
Si 28.09 Si.upf
H 1.01 H.upf
CELL_PARAMETERS angstrom
3.7660 -0.0075 -0.0304
-0.5754 4.5335 0.0212
-1.3553 -0.1582 6.5494
ATOMIC_POSITIONS crystal
Cd 0.7909 0.7714 0.0824
Si 0.2956 0.5534 0.5996
Cd 0.2091 0.2286 0.9176
H 0.6526 0.1151 0.3729
H 0.3474 0.8849 0.6271
Si 0.7044 0.4466 0.4004


| no. | ρ (g/cm³) | energy (eV/atom) |
| --- | --- | --- |
| 1 | 6.7 | -1.826 |
| 2 | 4.5 | -3.027 |
| 3 | 1.5 | -3.553 |
| 4 | 3.5 | -2.936 |
| 5 | 4.1 | -3.063 |
| 6 | 4.2 | -3.042 |